Entry from Alexandria: a relaxed Cr6Re5Tc crystal (PBE-GGA).

Summary:
calculated volume: 13.53 Å³ per atom
total magnetic moment: 0.00 Bohr magnetons per cell
formation enthalpy at 0 K: 0.1130 eV/atom
space-group type: Cmmm, No. 65
Fermi-level density of states: 15.2 states/eV/f.u.

Cell: 5.005 5.005 8.350 Å, 90.00 90.00 129.08°
Positions (direct):
Cr (0.000, 0.000, 0.246)
Cr (0.000, 0.000, 0.754)
Cr (0.332, 0.668, 0.252)
Cr (0.332, 0.668, 0.748)
Cr (0.668, 0.332, 0.252)
Cr (0.668, 0.332, 0.748)
Re (0.166, 0.834, 0.500)
Re (0.169, 0.831, 0.000)
Re (0.500, 0.500, 0.500)
Re (0.831, 0.169, 0.000)
Re (0.834, 0.166, 0.500)
Tc (0.500, 0.500, 0.000)